1.
The following is a PBE-GGA calculation of a geometry-optimized HfVMo2Au structure, from Alexandria via LeMat-Bulk.

Values from the calculation:
theoretical density = 9.102 g/cm3
DFT formation energy = 1964.3 meV per atom
total magnetic moment = 0.0 μB per cell
crystal system = tetragonal
DFT total energy = -6.84 eV per atom

Unit cell a=4.7522 b=4.9947 c=4.7522 alpha=90.00 beta=90.00 gamma=90.00
Last column: nearest neighbours and their distance in Å.
Fractional positions:
Hf1 0.0000 0.0000 0.0000  4 Mo 2.38, 2 Au 2.50
Mo1 0.0000 0.0000 0.5000  2 Hf 2.38
Mo2 0.5000 0.0000 0.0000  2 Hf 2.38
Au1 0.0000 0.5000 0.0000  2 Hf 2.50
V1 0.5000 0.5000 0.5000  4 Au 3.36, 8 Mo 3.45

2.
The following is a PBE-GGA calculation of a geometry-optimized La2InW structure, from Alexandria via LeMat-Bulk.

Values from the calculation:
theoretical density = 9.525 g/cm3
DFT formation energy = 592.2 meV per atom
total magnetic moment = 0.0 μB per cell
crystal system = monoclinic
DFT total energy = -5.79 eV per atom

Unit cell a=3.1413 b=5.7488 c=6.5820 alpha=57.73 beta=90.00 gamma=90.00
Last column: nearest neighbours and their distance in Å.
Fractional positions:
In1 0.0000 0.0000 0.5000  2 In 3.14, 4 W 3.28, 6 La 3.29-3.39
La1 0.0000 0.0000 0.0000  6 La 3.14-3.28, 2 In 3.29, 4 W 3.39
La2 0.5000 0.5000 0.0000  6 La 3.14-3.28, 2 W 3.29, 4 In 3.39
W1 0.5000 0.5000 0.5000  2 W 3.14, 4 In 3.28, 6 La 3.29-3.39